! Ta2As PBE relaxed; values from VASP
&SYSTEM
  ibrav = 0, nat = 6, ntyp = 2
/
ATOMIC_SPECIES
Ta 180.95 Ta.upf
As 74.92 As.upf
ATOMIC_POSITIONS angstrom
Ta 1.6511 5.9001 3.8905
Ta 1.6511 1.6808 3.8905
Ta 1.6511 -1.6808 1.2968
Ta 1.6511 -5.9001 1.2968
As 1.6511 2.6191 1.2968
As 1.6511 -2.6191 3.8905
CELL_PARAMETERS angstrom
1.6511 -6.4584 0.0000
1.6511 6.4584 0.0000
0.0000 0.0000 5.1874
! Symmetry   Cmcm (63)
! Energy of formation   -94 meV per atom
! Mass density   13113 kg/m3
! VASP energy   -57.27 eV per cell
! DOS(E_F)   0.61 states/eV/atom